Record 1
Entry from Alexandria via LeMat-Bulk: a relaxed structure of As2IrPb (PBE).

Properties
Magnetization: 0.0 μB per formula unit
E above lowest polymorph: 626 meV per atom
E_form: 0.5712 eV/atom
Final energy: -4.90 eV per atom

Lattice parameters (Å, degrees): 4.9448 4.9448 3.2248 90.00 90.00 90.00
Atoms (fractional coordinates):
Pb: 0.0000 0.5000 0.5000
As: 0.0000 0.0000 0.0000
As: 0.5000 0.5000 0.0000
Ir: 0.5000 0.0000 0.5000

Record 2
Entry from Alexandria via LeMat-Bulk: a relaxed structure of Co2SbPt (PBE).

Properties
Magnetization: 2.0 μB per formula unit
Formation energy (no corrections): 0.06 eV per atom
Final energy: -6.03 eV per atom

Lattice parameters (Å, degrees): 6.3263 4.3600 3.1039 89.99 60.64 123.43
Each line ends with the local moment (μB).
Atoms (fractional coordinates):
Co: 0.0000 0.0000 0.0000  1.03
Co: 0.5000 0.0000 0.5000  1.03
Pt: 0.0000 0.5000 0.5000  0.06
Sb: 0.5000 0.5000 0.0000  -0.03

Record 3
Entry from Alexandria via LeMat-Bulk: a relaxed structure of Ho5Fe2Te2 (PBE).

Properties
Magnetization: 1.3 μB per formula unit
Formation energy (no corrections): -0.59 eV per atom
Final energy: -5.71 eV per atom

Lattice parameters (Å, degrees): 7.6174 7.5696 8.7339 90.00 64.15 90.00
Each line ends with the local moment (μB).
Atoms (fractional coordinates):
Ho: 0.0000 0.0000 0.0000  -0.33
Ho: 0.5000 0.5000 0.0000  -0.33
Ho: 0.4495 0.1684 0.7616  -0.24
Ho: 0.7888 0.8316 0.7616  -0.24
Ho: 0.2888 0.6684 0.7616  -0.24
Ho: 0.9495 0.3316 0.7616  -0.24
Ho: 0.5505 0.8316 0.2384  -0.24
Ho: 0.2112 0.1684 0.2384  -0.24
Ho: 0.7112 0.3316 0.2384  -0.24
Ho: 0.0505 0.6684 0.2384  -0.24
Fe: 0.1096 0.3934 0.0000  1.45
Fe: 0.8904 0.6066 0.0000  1.45
Fe: 0.3904 0.8934 0.0000  1.45
Fe: 0.6096 0.1066 0.0000  1.45
Te: 0.2117 0.0000 0.5766  0.00
Te: 0.7117 0.5000 0.5766  0.00
Te: 0.7883 0.0000 0.4234  0.00
Te: 0.2883 0.5000 0.4234  0.00